Below is a relaxed Cu2RuW crystal, with properties calculated at the PBE level.

Output
The formation energy comes out at 1.1 eV/f.u. For the distance to the lowest polymorph of the same formula, the calculation gives 0.1166 eV per atom. The calculation puts the uncorrected energy at -0.5380 Ry/atom. As for the spin magnetization: 0.002 μB/f.u.

Cell lengths 2.6869, 4.0306, 5.0309 Å; angles 90.00, 90.14, 90.00 degrees
Space group P2/m (No. 10)
Unique sites:
Cu  0.0000  0.0000  0.2488 [2 per cell]
Ru  0.5000  0.5000  0.0000 [1 per cell]
W  0.5000  0.5000  0.5000 [1 per cell]

---

Below is a relaxed Cu2RuW crystal, with properties calculated at the PBE level.

Output
The formation energy comes out at 0.7 eV/f.u. For the distance to the lowest polymorph of the same formula, the calculation gives 0.0173 eV per atom. The calculation puts the uncorrected energy at -0.5453 Ry/atom. As for the spin magnetization: 0.000 μB/f.u.

Cell lengths 2.7295, 2.7295, 25.9672 Å; angles 90.00, 90.00, 120.00 degrees
Space group R3m (No. 160, hexagonal axes)
Unique sites:
Cu  0.0000  0.0000  0.0000 [3 per cell]
Cu  0.0000  0.0000  0.2556 [3 per cell]
Ru  0.0000  0.0000  0.7518 [3 per cell]
W  0.0000  0.0000  0.5015 [3 per cell]

---

Below is a relaxed Cu2RuW crystal, with properties calculated at the PBE level.

Output
The formation energy comes out at 0.7 eV/f.u. For the distance to the lowest polymorph of the same formula, the calculation gives 0.0000 eV per atom. The calculation puts the uncorrected energy at -0.5466 Ry/atom. As for the spin magnetization: 0.000 μB/f.u.

Cell lengths 3.7739, 3.7739, 7.5651 Å; angles 90.00, 90.00, 90.00 degrees
Space group I-4m2 (No. 119)
Unique sites:
Cu  0.0000  0.0000  0.0000 [2 per cell]
Cu  0.0000  0.5000  0.2500 [2 per cell]
Ru  0.0000  0.5000  0.7500 [2 per cell]
W  0.0000  0.0000  0.5000 [2 per cell]

---

Below is a relaxed ZrCu2RuW crystal, with properties calculated at the PBE level.

Output
The formation energy comes out at 7.4 eV/f.u. The calculation puts the uncorrected energy at -0.4635 Ry/atom. As for the spin magnetization: 2.140 μB/f.u.

Cell lengths 4.5794, 4.5794, 4.7294 Å; angles 90.00, 90.00, 90.00 degrees
Space group P4/mmm (No. 123)
Unique sites:
Zr  0.0000  0.0000  0.0000 [1 per cell]
Cu  0.0000  0.5000  0.5000 [2 per cell]
Ru  0.0000  0.0000  0.5000 [1 per cell]
W  0.5000  0.5000  0.0000 [1 per cell]

---

Below is a relaxed Y4CuRu3 crystal, with properties calculated at the PBE level.

Output
The formation energy comes out at -2.6 eV/f.u. The calculation puts the uncorrected energy at -0.5547 Ry/atom. As for the spin magnetization: 0.000 μB/f.u.

Cell lengths 4.8514, 4.8514, 6.8609 Å; angles 90.00, 90.00, 90.00 degrees
Space group P4/mmm (No. 123)
Unique sites:
Y  0.0000  0.5000  0.2448 [4 per cell]
Cu  0.0000  0.0000  0.5000 [1 per cell]
Ru  0.0000  0.0000  0.0000 [1 per cell]
Ru  0.5000  0.5000  0.0000 [1 per cell]
Ru  0.5000  0.5000  0.5000 [1 per cell]

---

Below is a relaxed YCuRu crystal, with properties calculated at the PBE level.

Output
The formation energy comes out at -0.6 eV/f.u. For the distance to the lowest polymorph of the same formula, the calculation gives 0.0912 eV per atom. The calculation puts the uncorrected energy at -0.5004 Ry/atom. As for the spin magnetization: 0.000 μB/f.u.

Cell lengths 9.8459, 4.3046, 5.3406 Å; angles 90.00, 95.08, 90.00 degrees
Space group Cm (No. 8)
Unique sites:
Y  0.0000  0.0000  0.0000 [2 per cell]
Y  0.0842  0.5000  0.5045 [2 per cell]
Cu  0.2127  0.5000  0.0061 [2 per cell]
Cu  0.2967  0.0000  0.7703 [2 per cell]
Ru  0.3037  0.0000  0.2687 [2 per cell]
Ru  0.3610  0.5000  0.4682 [2 per cell]